{
  "formula": "La3Np2Ru4",
  "functional": "PBE",
  "state": "relaxed",
  "formation_enthalpy_0k_ev_per_atom": -0.223,
  "m_tot_mub_per_cell": 5.43,
  "lattice": [[5.714, -2.123, 0.000], [5.714, 2.123, 0.000], [-1.883, 0.000, 8.823]],
  "species": ["La", "La", "La", "Np", "Np", "Ru", "Ru", "Ru", "Ru"],
  "fractional_positions": [[0.000, 0.000, 0.000], [0.376, 0.376, 0.615], [0.624, 0.624, 0.385], [0.326, 0.326, 0.218], [0.674, 0.674, 0.782], [0.087, 0.087, 0.644], [0.278, 0.278, 0.907], [0.722, 0.722, 0.093], [0.913, 0.913, 0.356]]
}

=====

{
  "formula": "Ce3Be2As4S2",
  "functional": "PBE",
  "state": "relaxed",
  "m_tot_mub_per_cell": 2.31,
  "energy_ev_per_atom": -5.7349,
  "lattice": [[-2.152, 2.152, 12.354], [2.152, -2.152, 12.354], [2.152, 2.152, -12.354]],
  "species": ["Ce", "Ce", "Ce", "Be", "Be", "As", "As", "As", "As", "S", "S"],
  "fractional_positions": [[0.000, 0.000, 0.000], [0.173, 0.173, 0.000], [0.827, 0.827, 0.000], [0.373, 0.373, 0.000], [0.627, 0.627, 0.000], [0.086, 0.586, 0.500], [0.414, 0.914, 0.500], [0.586, 0.086, 0.500], [0.914, 0.414, 0.500], [0.291, 0.291, 0.000], [0.709, 0.709, 0.000]]
}